Computed, not measured: an optimized crystal structure of Y3Er5Te at the PBE level of DFT.

abc: 9.1828 9.1828 3.7710
angles: 90.00 90.00 120.00
Space group P-62m (No. 189)
Unique sites:
Y (0.0000, 0.6157, 0.0000) [3 per cell]
Er (0.0000, 0.2752, 0.5000) [3 per cell]
Er (0.3333, 0.6667, 0.5000) [2 per cell]
Te (0.0000, 0.0000, 0.0000) [1 per cell]

Results
- Calculated total energy: -5.33 eV/atom
- ΔE to the lowest computed polymorph: 0.005 eV/atom

***

Computed, not measured: an optimized crystal structure of YErTh at the PBE level of DFT.

abc: 7.6519 7.6519 7.6519
angles: 90.00 90.00 90.00
Space group F-43m (No. 216)
Unique sites:
Y (0.0000, 0.0000, 0.0000) [4 per cell]
Er (0.2500, 0.2500, 0.7500) [4 per cell]
Th (0.0000, 0.0000, 0.5000) [4 per cell]

Results
- Calculated total energy: -5.34 eV/atom
- ΔE_f: 0.8024 eV per atom
- ΔE to the lowest computed polymorph: 0.000 eV/atom

***

Computed, not measured: an optimized crystal structure of Y3Er2Th3 at the PBE level of DFT.

abc: 6.2048 6.2048 23.5939
angles: 90.00 90.00 120.00
Space group R-3m (No. 166, hexagonal axes)
Unique sites:
Y (0.0000, 0.5000, 0.0000) [9 per cell]
Er (0.0000, 0.0000, 0.2082) [6 per cell]
Th (0.0000, 0.0000, 0.0771) [6 per cell]
Th (0.0000, 0.0000, 0.5000) [3 per cell]

Results
- Calculated total energy: -5.95 eV/atom
- ΔE_f: 0.3960 eV per atom

***

Computed, not measured: an optimized crystal structure of Er5Tl4 at the PBE level of DFT.

abc: 9.2117 9.2117 6.6465
angles: 90.00 90.00 120.00
Space group P6_3/mcm (No. 193)
Unique sites:
Er (0.0000, 0.2891, 0.2500) [6 per cell]
Er (0.3333, 0.6667, 0.0000) [4 per cell]
Tl (0.0000, 0.0000, 0.0000) [2 per cell]
Tl (0.0000, 0.3744, 0.7500) [6 per cell]

Results
- Calculated total energy: -3.91 eV/atom